Compound: Sr2CaAl
Source: the Alexandria database
Functional: PBE
Structure: optimized geometry

The structure in POSCAR format:
```
Sr2CaAl
1.0
3.955 0.000 0.000
0.000 3.955 0.000
0.000 0.000 10.077
Sr Ca Al
2 1 1
Direct
0.000 0.000 0.000 Sr
0.500 0.500 0.335 Sr
0.500 0.500 0.700 Ca
0.000 0.000 0.535 Al
```

Properties
E_form = -0.23 eV/f.u.
Energy = -9.33 eV/cell
SG = P4mm

***

Compound: Sr2Ca2Al
Source: the Alexandria database
Functional: PBE
Structure: optimized geometry

The structure in POSCAR format:
```
Sr2Ca2Al
1.0
8.203 0.000 0.000
0.000 8.203 0.000
0.000 0.000 6.213
Sr Ca Al
4 4 2
Direct
0.177 0.323 0.000 Sr
0.323 0.823 0.000 Sr
0.677 0.177 0.000 Sr
0.823 0.677 0.000 Sr
0.153 0.653 0.500 Ca
0.347 0.153 0.500 Ca
0.653 0.847 0.500 Ca
0.847 0.347 0.500 Ca
0.000 0.000 0.500 Al
0.500 0.500 0.500 Al
```

Properties
E_form = 0.51 eV/f.u.
Energy = -21.20 eV/cell
ΔE to the lowest computed polymorph = 0 meV per atom
SG = P4/mbm

***

Compound: Sr2CaAl
Source: the Alexandria database
Functional: PBE
Structure: optimized geometry

The structure in POSCAR format:
```
Sr2CaAl
1.0
-2.016 3.026 6.432
2.016 -3.026 6.432
2.016 3.026 -6.432
Sr Ca Al
2 1 1
Direct
0.000 0.000 0.000 Sr
0.699 0.199 0.500 Sr
0.302 0.802 0.500 Ca
0.492 0.492 0.000 Al
```

Properties
E_form = -0.11 eV/f.u.
Energy = -9.22 eV/cell
SG = Imm2

***

Compound: Sr2CaAl2
Source: the Alexandria database
Functional: PBE
Structure: optimized geometry

The structure in POSCAR format:
```
Sr2CaAl2
1.0
8.854 0.000 0.000
0.000 8.854 0.000
0.000 0.000 4.367
Sr Ca Al
4 2 4
Direct
0.179 0.321 0.000 Sr
0.321 0.821 0.000 Sr
0.679 0.179 0.000 Sr
0.821 0.679 0.000 Sr
0.000 0.000 0.500 Ca
0.500 0.500 0.500 Ca
0.111 0.611 0.500 Al
0.389 0.111 0.500 Al
0.611 0.889 0.500 Al
0.889 0.389 0.500 Al
```

Properties
E_form = -0.53 eV/f.u.
Energy = -26.76 eV/cell
ΔE to the lowest computed polymorph = 0 meV per atom
SG = P4/mbm